VASP calculation (PBE-GGA) on SrNdCu2Sb2 after structural relaxation.

abc: 4.463 4.463 8.682
angles: 90.00 90.00 120.00
Positions (direct):
Cu 0.667 0.333 0.463
Cu 0.333 0.667 0.038
Sr 0.000 0.000 0.750
Nd 0.000 0.000 0.250
Sb 0.333 0.667 0.494
Sb 0.667 0.333 0.006

Calculated values
* crystal system: trigonal
* raw total energy: -4.42 eV per atom
* space group: P-3m1, No. 164